# 1
Al5Re after structural relaxation, computed with PBE.

Unit cell a=7.406 b=7.406 c=4.473 alpha=90.00 beta=90.00 gamma=157.81
Sites, in units of the cell vectors:
Al 0.002 0.998 0.000
Al 0.338 0.662 0.000
Al 0.664 0.336 0.000
Al 0.451 0.549 0.500
Al 0.770 0.230 0.500
Re 0.108 0.892 0.500

The value obtained for the formation energy from the elements is -0.0526 eV per atom. As for the total DFT energy (no corrections): -5.246 eV/atom. The space group is Amm2, No. 38.

---

# 2
DyHo4Ge4 after structural relaxation, computed with PBE.

Unit cell a=5.793 b=9.106 c=9.106 alpha=90.00 beta=90.00 gamma=90.00
Sites, in units of the cell vectors:
Dy 0.000 0.000 0.000
Dy 0.500 0.500 0.500
Ho 0.387 0.330 0.905
Ho 0.887 0.595 0.830
Ho 0.387 0.670 0.095
Ho 0.113 0.170 0.595
Ho 0.613 0.905 0.670
Ho 0.113 0.830 0.405
Ho 0.887 0.405 0.170
Ho 0.613 0.095 0.330
Ge 0.612 0.778 0.368
Ge 0.612 0.222 0.632
Ge 0.112 0.868 0.722
Ge 0.888 0.278 0.868
Ge 0.888 0.722 0.132
Ge 0.388 0.368 0.222
Ge 0.388 0.632 0.778
Ge 0.112 0.132 0.278

The value obtained for the formation energy from the elements is -0.5776 eV per atom. As for the total DFT energy (no corrections): -5.176 eV/atom. The space group is P4_2/n, No. 86.

---

# 3
TiNiIr after structural relaxation, computed with PBE.

Unit cell a=4.175 b=4.175 c=5.655 alpha=89.94 beta=89.94 gamma=119.98
Sites, in units of the cell vectors:
Ni 0.113 0.887 0.250
Ni 0.113 0.887 0.750
Ir 0.446 0.554 0.250
Ir 0.446 0.554 0.750
Ti 0.779 0.221 0.500
Ti 0.779 0.221 0.000

Its energy relative to the lowest polymorph listed for this composition is 0.1239 eV per atom. The value obtained for the formation energy from the elements is -0.3574 eV per atom. As for the total DFT energy (no corrections): -7.870 eV/atom. The space group is C2, No. 5.

---

# 4
BaMg3C after structural relaxation, computed with PBE.

Unit cell a=4.869 b=4.869 c=4.869 alpha=90.00 beta=90.00 gamma=90.00
Sites, in units of the cell vectors:
C 0.000 0.000 0.000
Mg 0.000 0.500 0.000
Mg 0.000 0.000 0.500
Mg 0.500 0.000 0.000
Ba 0.500 0.500 0.500

Its energy relative to the lowest polymorph listed for this composition is 0.0000 eV per atom. The value obtained for the formation energy from the elements is 0.4975 eV per atom. As for the total DFT energy (no corrections): -2.689 eV/atom. The space group is Pm-3m, No. 221.

---

# 5
YAgC after structural relaxation, computed with PBE.

Unit cell a=4.594 b=4.594 c=5.416 alpha=90.00 beta=90.00 gamma=120.00
Sites, in units of the cell vectors:
Y 0.333 0.667 0.250
Y 0.667 0.333 0.750
C 0.333 0.667 0.750
C 0.667 0.333 0.250
Ag 0.000 0.000 0.000
Ag 0.000 0.000 0.500

The value obtained for the formation energy from the elements is 0.3963 eV per atom. As for the total DFT energy (no corrections): -5.783 eV/atom. The space group is P6_3/mmc, No. 194.

---

# 6
Mn2HgS2 after structural relaxation, computed with PBE.

Unit cell a=3.720 b=3.720 c=5.947 alpha=71.78 beta=71.78 gamma=90.00
Sites, in units of the cell vectors:
S 0.750 0.250 0.500
S 0.250 0.750 0.500
Mn 0.367 0.367 0.266
Mn 0.633 0.633 0.734
Hg 0.000 0.000 0.000

Its energy relative to the lowest polymorph listed for this composition is 0.5489 eV per atom. As for the total DFT energy (no corrections): -5.212 eV/atom. The space group is I4/mmm, No. 139.